DFT (PBE) results for an optimized crystal structure of TlCr2Br.

Cell lengths 8.447, 8.447, 8.447 Å; angles 24.03, 24.03, 24.03 degrees
Element x y z (fractional)
Tl1 0.000 0.000 0.000
Cr1 0.248 0.248 0.248
Cr2 0.752 0.752 0.752
Br1 0.500 0.500 0.500

Properties
total magnetization: 2.15 μB per atom
DOS(E_F): 0.922 states/eV/cell
volume: 22.0 A^3/atom
E above lowest polymorph: 179 meV/atom
formation energy (no corrections): 457 meV/atom

DFT (PBE) results for an optimized crystal structure of TlCrBr4.

Cell lengths 8.837, 8.837, 6.594 Å; angles 99.47, 99.47, 110.33 degrees
Element x y z (fractional)
Tl1 0.224 0.776 0.750
Tl2 0.776 0.224 0.250
Cr1 0.436 0.564 0.250
Cr2 0.564 0.436 0.750
Br1 0.154 0.525 0.305
Br2 0.297 0.416 0.863
Br3 0.416 0.297 0.363
Br4 0.475 0.846 0.195
Br5 0.525 0.154 0.805
Br6 0.584 0.703 0.637
Br7 0.703 0.584 0.137
Br8 0.846 0.475 0.695

Properties
total magnetization: 0.50 μB per atom
volume: 38.5 A^3/atom
E above lowest polymorph: 0 meV/atom
formation energy (no corrections): -782 meV/atom